Entry 1:
# TmTlCd2

Crystalline TmTlCd2 at its relaxed geometry (PBE-GGA, Alexandria via LeMat-Bulk).

Cell lengths 4.846, 4.485, 4.485 Å; angles 90.00, 90.00, 90.00 degrees
Fractional coordinates of all 4 atoms:
Cd: 0.000 0.500 0.000
Tm: 0.500 0.500 0.500
Cd: 0.000 0.000 0.500
Tl: 0.500 0.000 0.000

Output
The symmetry is P4/mmm (123). As for the density of states at the Fermi level: 0.7280 states/eV per atom. For the formation energy, the calculation gives -0.9 eV/f.u. The calculation puts the total magnetization at 0.00 μB per cell. The value obtained for the energy relative to the lowest polymorph listed for this composition is 0.000 eV per atom.

---

Entry 2:
# GdYPd4

Crystalline GdYPd4 at its relaxed geometry (PBE-GGA, Alexandria via LeMat-Bulk).

Cell lengths 5.459, 5.459, 5.459 Å; angles 60.00, 60.00, 60.00 degrees
Each line ends with the local moment (μB).
Fractional coordinates of all 6 atoms:
Gd: 0.250 0.250 0.250  7.02
Pd: 0.625 0.625 0.625  0.00
Pd: 0.625 0.625 0.125  0.00
Pd: 0.625 0.125 0.625  0.00
Y: 0.000 0.000 0.000  0.01
Pd: 0.125 0.625 0.625  0.00

Output
The symmetry is F-43m (216). As for the density of states at the Fermi level: 0.5717 states/eV per atom. For the formation energy, the calculation gives -4.8 eV/f.u. The calculation puts the total magnetization at 7.16 μB per cell.

---

Entry 3:
# PmTm4Al2

Crystalline PmTm4Al2 at its relaxed geometry (PBE-GGA, Alexandria via LeMat-Bulk).

Cell lengths 5.572, 5.572, 7.477 Å; angles 111.87, 111.87, 90.00 degrees
Fractional coordinates of all 7 atoms:
Tm: 0.500 0.000 0.000
Al: 0.616 0.616 0.232
Tm: 0.000 0.500 0.000
Pm: 0.000 0.000 0.000
Tm: 0.750 0.250 0.500
Tm: 0.250 0.750 0.500
Al: 0.384 0.384 0.768

Output
The symmetry is I4/mmm (139). As for the density of states at the Fermi level: 1.1936 states/eV per atom. For the formation energy, the calculation gives 2.1 eV/f.u. The calculation puts the total magnetization at 0.00 μB per cell. The value obtained for the energy relative to the lowest polymorph listed for this composition is 0.391 eV per atom.

---

Q: Which of these has the lowest density of states at the Fermi level?
A: GdYPd4

---

Repeat the second record exactly.
# GdYPd4

Crystalline GdYPd4 at its relaxed geometry (PBE-GGA, Alexandria via LeMat-Bulk).

Cell lengths 5.459, 5.459, 5.459 Å; angles 60.00, 60.00, 60.00 degrees
Each line ends with the local moment (μB).
Fractional coordinates of all 6 atoms:
Gd: 0.250 0.250 0.250  7.02
Pd: 0.625 0.625 0.625  0.00
Pd: 0.625 0.625 0.125  0.00
Pd: 0.625 0.125 0.625  0.00
Y: 0.000 0.000 0.000  0.01
Pd: 0.125 0.625 0.625  0.00

Output
The symmetry is F-43m (216). As for the density of states at the Fermi level: 0.5717 states/eV per atom. For the formation energy, the calculation gives -4.8 eV/f.u. The calculation puts the total magnetization at 7.16 μB per cell.